The following is a PBE-GGA calculation of an optimized crystal structure of K2SrSb, from the Alexandria database.

## Properties
- formation energy from raw total energies (meV per atom) = -394
- V (Å³/cell) = 232.3

abc: 5.4420 5.4420 9.5854
angles: 73.72 73.72 59.84
With the nearest neighbours (Å) after each atom.
Positions (direct):
K (0.7842, 0.7842, 0.6487)  3 Sb 3.74-3.75, 3 Sr 4.10-4.12
K (0.9764, 0.9764, 0.0710)  3 Sr 4.06-4.07, 3 Sb 4.47-4.50
Sr (0.2143, 0.2143, 0.3565)  3 Sb 3.20
Sb (0.5250, 0.5250, 0.4238)  3 Sr 3.20